Entry w
CoTcMo2 | GGA-PBE | optimized geometry

Unit cell a=4.7551 b=4.7551 c=4.7551 alpha=132.70 beta=132.70 gamma=69.13
Last column: nearest neighbours and their distance in Å.
Sites, in units of the cell vectors:
Mo: 0.2500 0.7500 0.5000  4 Co 2.70, 4 Mo 2.73, 4 Tc 2.73
Mo: 0.0000 0.0000 0.0000  4 Tc 2.70, 4 Mo 2.73, 4 Co 2.73
Co: 0.7500 0.2500 0.5000  8 Mo 2.70-2.73, 4 Tc 2.73
Tc: 0.5000 0.5000 0.0000  8 Mo 2.70-2.73, 4 Co 2.73

## Properties
Magnetization in μB/atom: 0.000
ρ in Mg/m³: 10.2
DOS(E_F) in states/eV/cell: 4.41

Entry x
CoTcMo2 | GGA-PBE | optimized geometry

Unit cell a=9.0453 b=9.0453 c=9.0453 alpha=17.39 beta=17.39 gamma=17.39
Last column: nearest neighbours and their distance in Å.
Sites, in units of the cell vectors:
Mo: 0.4972 0.4972 0.4972  3 Co 2.67, 6 Mo 2.73, 3 Tc 2.79
Mo: 0.0028 0.0028 0.0028  3 Co 2.67, 6 Mo 2.73, 3 Tc 2.79
Tc: 0.2500 0.2500 0.2500  6 Tc 2.73, 6 Mo 2.79
Co: 0.7500 0.7500 0.7500  6 Mo 2.67, 6 Co 2.73

## Properties
Magnetization in μB/atom: 0.286
ρ in Mg/m³: 10.0
DOS(E_F) in states/eV/cell: 4.70

Entry y
CoTcMo2 | GGA-PBE | optimized geometry

Unit cell a=4.3454 b=4.3454 c=4.3454 alpha=60.00 beta=60.00 gamma=60.00
Last column: nearest neighbours and their distance in Å.
Sites, in units of the cell vectors:
Tc: 0.5000 0.5000 0.5000  8 Mo 2.66
Mo: 0.7500 0.7500 0.7500  4 Co 2.66, 4 Tc 2.66
Mo: 0.2500 0.2500 0.2500  4 Tc 2.66, 4 Co 2.66
Co: 0.0000 0.0000 0.0000  8 Mo 2.66

## Properties
Magnetization in μB/atom: 0.578
ρ in Mg/m³: 10.0
DOS(E_F) in states/eV/cell: 6.07

Energies relative to the minimum, eV/atom: entry w 0.000; entry x 0.088; entry y 0.047

Entry w
CoTcMo2 | GGA-PBE | optimized geometry

Unit cell a=4.3131 b=2.6479 c=5.1183 alpha=80.00 beta=90.00 gamma=90.00
Last column: nearest neighbours and their distance in Å.
Sites, in units of the cell vectors:
Mo: 0.0000 0.9717 0.9872  2 Co 2.50, 2 Tc 2.58-2.76, 4 Mo 2.65-2.68
Mo: 0.5000 0.2138 0.2523  3 Co 2.59-2.86, 4 Mo 2.65-2.68, 2 Tc 2.65
Tc: 0.0000 0.4586 0.5040  4 Mo 2.58-2.76, 2 Tc 2.65, 4 Co 2.81-2.86
Co: 0.5000 0.8558 0.7565  4 Mo 2.50-2.80, 2 Co 2.65

## Properties
Magnetization in μB/atom: 0.000
ρ in Mg/m³: 10.1
DOS(E_F) in states/eV/cell: 3.90

Entry x
CoTcMo2 | GGA-PBE | optimized geometry

Unit cell a=4.2812 b=2.6471 c=5.1990 alpha=79.09 beta=90.00 gamma=90.00
Last column: nearest neighbours and their distance in Å.
Sites, in units of the cell vectors:
Mo: 0.0000 0.4813 0.5066  4 Mo 2.59-2.78, 2 Co 2.65, 2 Tc 2.65
Mo: 0.0000 0.0187 0.9934  4 Mo 2.59-2.78, 2 Co 2.65, 2 Tc 2.65
Tc: 0.5000 0.2500 0.2500  2 Tc 2.65, 4 Mo 2.65, 2 Co 2.68
Co: 0.5000 0.7500 0.7500  2 Co 2.65, 4 Mo 2.65, 2 Tc 2.68

## Properties
Magnetization in μB/atom: 0.360
ρ in Mg/m³: 10.0
DOS(E_F) in states/eV/cell: 5.33

Energies relative to the minimum, eV/atom: entry w 0.000; entry x 0.012

Entry w
Co2Tc2Mo | GGA-PBE | optimized geometry

Unit cell a=7.2052 b=7.2052 c=2.5943 alpha=90.00 beta=90.00 gamma=90.00
Last column: nearest neighbours and their distance in Å.
Sites, in units of the cell vectors:
Tc: 0.3733 0.8733 0.0000  6 Co 2.45-2.51, 3 Tc 2.58-2.59
Tc: 0.8733 0.6267 0.0000  6 Co 2.45-2.51, 3 Tc 2.58-2.59
Tc: 0.1267 0.3733 0.0000  6 Co 2.45-2.51, 3 Tc 2.58-2.59
Tc: 0.6267 0.1267 0.0000  6 Co 2.45-2.51, 3 Tc 2.58-2.59
Co: 0.8311 0.3311 0.5000  6 Tc 2.45-2.51, 2 Co 2.59
Co: 0.1689 0.6689 0.5000  6 Tc 2.45-2.51, 2 Co 2.59
Co: 0.6689 0.8311 0.5000  6 Tc 2.45-2.51, 2 Co 2.59
Co: 0.3311 0.1689 0.5000  6 Tc 2.45-2.51, 2 Co 2.59
Mo: 0.0000 0.0000 0.0000  2 Mo 2.59, 4 Tc 2.84
Mo: 0.5000 0.5000 0.0000  2 Mo 2.59, 4 Tc 2.84

## Properties
Magnetization in μB/atom: 0.000
ρ in Mg/m³: 10.1
DOS(E_F) in states/eV/cell: 8.47

Entry x
Co2Tc2Mo | GGA-PBE | optimized geometry

Unit cell a=7.0935 b=7.0935 c=2.6453 alpha=90.00 beta=90.00 gamma=90.00
Last column: nearest neighbours and their distance in Å.
Sites, in units of the cell vectors:
Co: 0.3805 0.8805 0.0000  3 Co 2.40-2.65, 6 Tc 2.45-2.51
Co: 0.1195 0.3805 0.0000  3 Co 2.40-2.65, 6 Tc 2.45-2.51
Co: 0.8805 0.6195 0.0000  3 Co 2.40-2.65, 6 Tc 2.45-2.51
Co: 0.6195 0.1195 0.0000  3 Co 2.40-2.65, 6 Tc 2.45-2.51
Mo: 0.5000 0.5000 0.0000  2 Mo 2.65, 4 Co 2.83, 8 Tc 2.93
Mo: 0.0000 0.0000 0.0000  2 Mo 2.65, 4 Co 2.83, 8 Tc 2.93
Tc: 0.8247 0.3247 0.5000  6 Co 2.45-2.51, 2 Tc 2.65
Tc: 0.1753 0.6753 0.5000  6 Co 2.45-2.51, 2 Tc 2.65
Tc: 0.6753 0.8247 0.5000  6 Co 2.45-2.51, 2 Tc 2.65
Tc: 0.3247 0.1753 0.5000  6 Co 2.45-2.51, 2 Tc 2.65

## Properties
Magnetization in μB/atom: 0.000
ρ in Mg/m³: 10.2
DOS(E_F) in states/eV/cell: 18.07

Energies relative to the minimum, eV/atom: entry w 0.079; entry x 0.000

Entry w
CoTc2Mo | GGA-PBE | optimized geometry

Unit cell a=4.6577 b=4.6577 c=4.6896 alpha=80.36 beta=80.36 gamma=33.87
Last column: nearest neighbours and their distance in Å.
Sites, in units of the cell vectors:
Co: 0.5025 0.5025 0.5001  7 Tc 2.62-2.77, 3 Mo 2.64-2.69, 2 Co 2.71
Tc: 0.2419 0.2419 0.2545  3 Co 2.62-2.77, 5 Tc 2.62-2.73, 4 Mo 2.65-2.78
Tc: 0.9980 0.9980 0.0121  5 Tc 2.62-2.73, 4 Co 2.67-2.75, 3 Mo 2.70-2.80
Mo: 0.7576 0.7576 0.7334  3 Co 2.64-2.69, 7 Tc 2.65-2.80, 2 Mo 2.71

## Properties
Magnetization in μB/atom: 0.000
ρ in Mg/m³: 10.4
DOS(E_F) in states/eV/cell: 4.23

Entry x
CoTc2Mo | GGA-PBE | optimized geometry

Unit cell a=4.6419 b=4.6419 c=4.6884 alpha=80.37 beta=80.37 gamma=34.15
Last column: nearest neighbours and their distance in Å.
Sites, in units of the cell vectors:
Tc: 0.0105 0.0105 0.9828  3 Co 2.60-2.72, 6 Tc 2.61-2.83, 3 Mo 2.65-2.79
Tc: 0.4895 0.4895 0.5172  3 Co 2.60-2.72, 6 Tc 2.61-2.83, 3 Mo 2.65-2.79
Co: 0.7500 0.7500 0.7500  6 Tc 2.60-2.72, 4 Mo 2.71, 2 Co 2.73
Mo: 0.2500 0.2500 0.2500  6 Tc 2.65-2.79, 4 Co 2.71, 2 Mo 2.73

## Properties
Magnetization in μB/atom: 0.024
ρ in Mg/m³: 10.4
DOS(E_F) in states/eV/cell: 4.94

Entry y
CoTc2Mo | GGA-PBE | optimized geometry

Unit cell a=3.1554 b=3.1554 c=5.6376 alpha=90.00 beta=90.00 gamma=90.00
Last column: nearest neighbours and their distance in Å.
Sites, in units of the cell vectors:
Mo: 0.5000 0.5000 0.7500  8 Tc 2.71, 2 Co 2.82
Tc: 0.0000 0.0000 0.0218  1 Tc 2.57, 4 Co 2.58, 4 Mo 2.71
Tc: 0.0000 0.0000 0.4782  1 Tc 2.57, 4 Co 2.58, 4 Mo 2.71
Co: 0.5000 0.5000 0.2500  8 Tc 2.58, 2 Mo 2.82

## Properties
Magnetization in μB/atom: 0.271
ρ in Mg/m³: 10.4
DOS(E_F) in states/eV/cell: 5.23

Energies relative to the minimum, eV/atom: entry w 0.008; entry x 0.000; entry y 0.026

Entry w
CoTc2Mo | GGA-PBE | optimized geometry

Unit cell a=4.2143 b=2.6774 c=5.1077 alpha=76.73 beta=90.00 gamma=90.00
Last column: nearest neighbours and their distance in Å.
Sites, in units of the cell vectors:
Co: 0.0000 0.6593 0.5014  2 Mo 2.44, 1 Tc 2.51, 2 Co 2.68
Tc: 0.5000 0.2574 0.2586  3 Mo 2.60-2.89, 6 Tc 2.68-2.91, 4 Co 2.76-2.78
Tc: 0.0000 0.9399 0.9971  3 Co 2.51-2.81, 4 Tc 2.68-2.73, 2 Mo 2.69
Mo: 0.5000 0.6434 0.7430  2 Co 2.44, 4 Tc 2.60-2.69, 2 Mo 2.68

## Properties
Magnetization in μB/atom: 0.000
ρ in Mg/m³: 10.4
DOS(E_F) in states/eV/cell: 3.47

Entry x
CoTc2Mo | GGA-PBE | optimized geometry

Unit cell a=2.6668 b=2.6668 c=7.8292 alpha=90.00 beta=90.00 gamma=90.10
Last column: nearest neighbours and their distance in Å.
Sites, in units of the cell vectors:
Mo: 0.5000 0.5000 0.7500  4 Mo 2.67, 8 Tc 2.86
Co: 0.5000 0.5000 0.2500  8 Tc 2.58-2.59, 4 Co 2.67
Tc: 0.0000 0.0000 0.4757  4 Co 2.58-2.59, 4 Tc 2.67, 4 Mo 2.86
Tc: 0.0000 0.0000 0.0243  4 Co 2.58-2.59, 4 Tc 2.67, 4 Mo 2.86

## Properties
Magnetization in μB/atom: 0.000
ρ in Mg/m³: 10.5
DOS(E_F) in states/eV/cell: 5.72

Entry y
CoTc2Mo | GGA-PBE | optimized geometry

Unit cell a=2.7132 b=2.7132 c=8.9792 alpha=81.31 beta=81.31 gamma=60.00
Last column: nearest neighbours and their distance in Å.
Sites, in units of the cell vectors:
Co: 0.6659 0.6659 0.0023  6 Tc 2.58-2.62, 6 Co 2.71
Tc: 0.2555 0.2555 0.2336  3 Co 2.58, 6 Tc 2.71, 3 Mo 2.82
Tc: 0.0783 0.0783 0.7651  3 Co 2.62, 6 Tc 2.71, 3 Mo 2.83
Mo: 0.5003 0.5003 0.4990  6 Mo 2.71, 6 Tc 2.82-2.83

## Properties
Magnetization in μB/atom: 0.229
ρ in Mg/m³: 10.3
DOS(E_F) in states/eV/cell: 5.92

Energies relative to the minimum, eV/atom: entry w 0.000; entry x 0.016; entry y 0.075